Entry from the Alexandria database: a relaxed Tm4NiGe8 crystal (PBE).

abc: 3.9629 4.0536 15.9889
angles: 90.00 90.00 90.00
With the nearest neighbours (Å) after each atom.
Sites, in units of the cell vectors:
Tm 0.0000 0.0000 0.0000  10 Ge 2.92-3.10
Tm 0.0000 0.5000 0.4937  10 Ge 2.95-3.26
Tm 0.5000 0.0000 0.7890  10 Ge 3.02-3.35, 4 Ni 3.11
Tm 0.5000 0.5000 0.2875  10 Ge 2.93-3.16
Ni 0.0000 0.5000 0.7087  5 Ge 2.31-2.38
Ge 0.0000 0.0000 0.3336  2 Ge 2.61
Ge 0.0000 0.0000 0.6310  2 Ni 2.38
Ge 0.0000 0.5000 0.1412  4 Ge 2.84, 4 Tm 3.03-3.07
Ge 0.0000 0.5000 0.8533  1 Ni 2.31, 2 Ge 2.57
Ge 0.5000 0.0000 0.1467  4 Ge 2.84, 4 Tm 3.03-3.07
Ge 0.5000 0.0000 0.4395  2 Ge 2.61
Ge 0.5000 0.5000 0.6304  2 Ni 2.34
Ge 0.5000 0.5000 0.9560  2 Ge 2.57

Output
- ΔE_f (eV/atom) = -0.62
- density (g/cm³) = 8.505
- space-group type = Pmm2 (25)

---

Entry from the Alexandria database: a relaxed Ti2Mn3Re crystal (PBE).

abc: 4.8872 4.8872 4.8872
angles: 60.12 60.12 60.12
With the nearest neighbours (Å) after each atom.
Sites, in units of the cell vectors:
Ti 0.1246 0.1246 0.1246  9 Mn 2.87, 3 Re 2.87, 4 Ti 2.98-3.00
Ti 0.8754 0.8754 0.8754  9 Mn 2.87, 3 Re 2.87, 4 Ti 2.98-3.00
Mn 0.0000 0.5000 0.5000  2 Re 2.44, 4 Mn 2.45
Mn 0.5000 0.0000 0.5000  2 Re 2.44, 4 Mn 2.45
Mn 0.5000 0.5000 0.0000  2 Re 2.44, 4 Mn 2.45
Re 0.5000 0.5000 0.5000  6 Mn 2.44

Output
- ΔE_f (eV/atom) = -0.25
- density (g/cm³) = 8.966
- space-group type = R-3m (166)

---

Entry from the Alexandria database: a relaxed V2RhC2 crystal (PBE).

abc: 5.1018 5.1018 5.1018
angles: 134.14 134.14 66.87
With the nearest neighbours (Å) after each atom.
Sites, in units of the cell vectors:
V 0.2500 0.7500 0.5000  4 C 1.99
V 0.7500 0.2500 0.5000  4 C 1.99
Rh 0.0000 0.0000 0.0000  2 C 2.00
C 0.2344 0.2344 0.0000  4 V 1.99, 1 Rh 2.00
C 0.7656 0.7656 0.0000  4 V 1.99, 1 Rh 2.00

Output
- E above lowest polymorph (eV per atom) = 0.1328
- ΔE_f (eV/atom) = 0.15
- density (g/cm³) = 5.647
- space-group type = I4/mmm (139)

---

Entry from the Alexandria database: a relaxed Tb3Dy12Pu crystal (PBE).

abc: 5.0037 5.0037 19.9780
angles: 90.00 90.00 90.00
With the nearest neighbours (Å) after each atom.
Sites, in units of the cell vectors:
Tb 0.0000 0.0000 0.0000  12 Dy 3.54-3.55
Tb 0.0000 0.0000 0.2519  12 Dy 3.54-3.56
Tb 0.0000 0.0000 0.7481  12 Dy 3.54-3.56
Dy 0.0000 0.5000 0.1261  8 Dy 3.53-3.55, 4 Tb 3.55
Dy 0.0000 0.5000 0.3784  8 Dy 3.49-3.57, 2 Pu 3.49, 2 Tb 3.56
Dy 0.0000 0.5000 0.6216  8 Dy 3.49-3.57, 2 Pu 3.49, 2 Tb 3.56
Dy 0.0000 0.5000 0.8739  8 Dy 3.53-3.55, 4 Tb 3.55
Dy 0.5000 0.0000 0.1261  8 Dy 3.53-3.55, 4 Tb 3.55
Dy 0.5000 0.0000 0.3784  8 Dy 3.49-3.57, 2 Pu 3.49, 2 Tb 3.56
Dy 0.5000 0.0000 0.6216  8 Dy 3.49-3.57, 2 Pu 3.49, 2 Tb 3.56
Dy 0.5000 0.0000 0.8739  8 Dy 3.53-3.55, 4 Tb 3.55
Dy 0.5000 0.5000 0.0000  4 Tb 3.54, 8 Dy 3.55
Dy 0.5000 0.5000 0.2511  8 Dy 3.53-3.57, 4 Tb 3.54
Dy 0.5000 0.5000 0.5000  8 Dy 3.49, 4 Pu 3.54
Dy 0.5000 0.5000 0.7489  8 Dy 3.53-3.57, 4 Tb 3.54
Pu 0.0000 0.0000 0.5000  12 Dy 3.49-3.54

Output
- ΔE_f (eV/atom) = 0.04
- density (g/cm³) = 8.866
- space-group type = P4/mmm (123)

---

Entry from the Alexandria database: a relaxed Rb2La2PaSe6 crystal (PBE).

abc: 7.5625 7.5625 8.5364
angles: 98.69 98.69 119.53
With the nearest neighbours (Å) after each atom.
Sites, in units of the cell vectors:
Rb 0.1696 0.8304 0.0000  6 Se 3.52-3.59
Rb 0.8304 0.1696 0.0000  6 Se 3.52-3.59
La 0.3341 0.6659 0.5000  6 Se 3.02-3.04
La 0.6659 0.3341 0.5000  6 Se 3.02-3.04
Pa 0.0000 0.0000 0.5000  6 Se 2.87-2.89
Se 0.0640 0.3842 0.6938  1 Pa 2.89, 2 La 3.02-3.04
Se 0.2499 0.2499 0.3062  1 Pa 2.87, 2 La 3.03
Se 0.3842 0.0640 0.6938  1 Pa 2.89, 2 La 3.02-3.04
Se 0.6158 0.9360 0.3062  1 Pa 2.89, 2 La 3.02-3.04
Se 0.7501 0.7501 0.6938  1 Pa 2.87, 2 La 3.03
Se 0.9360 0.6158 0.3062  1 Pa 2.89, 2 La 3.02-3.04

Output
- E (eV for the cell shown) = -60.9
- density (g/cm³) = 4.727
- space-group type = C2/m (12)

---

Entry from the Alexandria database: a relaxed Tm4HfZr3N8 crystal (PBE).

abc: 6.6505 6.6505 6.6505
angles: 59.57 59.57 59.57
With the nearest neighbours (Å) after each atom.
Sites, in units of the cell vectors:
Tm 0.0000 0.0000 0.0000  6 N 2.40
Tm 0.0000 0.5000 0.5000  6 N 2.37
Tm 0.5000 0.0000 0.5000  6 N 2.37
Tm 0.5000 0.5000 0.0000  6 N 2.37
Hf 0.5000 0.5000 0.5000  6 N 2.28
Zr 0.0000 0.0000 0.5000  6 N 2.31-2.32
Zr 0.0000 0.5000 0.0000  6 N 2.31-2.32
Zr 0.5000 0.0000 0.0000  6 N 2.31-2.32
N 0.2469 0.2469 0.2469  3 Zr 2.31, 3 Tm 2.37
N 0.2503 0.7436 0.7436  1 Hf 2.28, 2 Zr 2.32, 3 Tm 2.37-2.40
N 0.2564 0.2564 0.7497  1 Hf 2.28, 2 Zr 2.32, 3 Tm 2.37-2.40
N 0.2564 0.7497 0.2564  1 Hf 2.28, 2 Zr 2.32, 3 Tm 2.37-2.40
N 0.7436 0.2503 0.7436  1 Hf 2.28, 2 Zr 2.32, 3 Tm 2.37-2.40
N 0.7436 0.7436 0.2503  1 Hf 2.28, 2 Zr 2.32, 3 Tm 2.37-2.40
N 0.7497 0.2564 0.2564  1 Hf 2.28, 2 Zr 2.32, 3 Tm 2.37-2.40
N 0.7531 0.7531 0.7531  3 Zr 2.31, 3 Tm 2.37

Output
- E (eV for the cell shown) = -148.9
- density (g/cm³) = 9.997
- space-group type = R-3m (166)

---

Entry from the Alexandria database: a relaxed ScH2Rh crystal (PBE).

abc: 3.8385 3.8385 3.8385
angles: 60.00 60.00 60.00
With the nearest neighbours (Å) after each atom.
Sites, in units of the cell vectors:
Sc 0.0000 0.0000 0.0000  8 H 2.35
H 0.2500 0.2500 0.2500  4 Rh 2.35, 4 Sc 2.35
H 0.7500 0.7500 0.7500  4 Rh 2.35, 4 Sc 2.35
Rh 0.5000 0.5000 0.5000  8 H 2.35

Output
- E above lowest polymorph (eV per atom) = 0.4470
- density (g/cm³) = 6.223
- space-group type = Fm-3m (225)

---

Entry from the Alexandria database: a relaxed HoScHgGe crystal (PBE).

abc: 5.0092 5.0092 5.0092
angles: 60.00 60.00 60.00
With the nearest neighbours (Å) after each atom.
Sites, in units of the cell vectors:
Ho 0.0000 0.0000 0.0000  4 Ge 3.07, 4 Hg 3.07
Sc 0.5000 0.5000 0.5000  4 Hg 3.07, 4 Ge 3.07
Hg 0.2500 0.2500 0.2500  4 Sc 3.07, 4 Ho 3.07
Ge 0.7500 0.7500 0.7500  4 Sc 3.07, 4 Ho 3.07

Output
- ΔE_f (eV/atom) = -0.51
- density (g/cm³) = 9.026
- space-group type = F-43m (216)

---

Entry from the Alexandria database: a relaxed SiHBr3 crystal (PBE).

abc: 4.6911 4.6911 4.6911
angles: 90.00 90.00 90.00
With the nearest neighbours (Å) after each atom.
Sites, in units of the cell vectors:
Si 0.0000 0.0000 0.0000  12 Br 3.32
H 0.5000 0.5000 0.5000  6 Br 2.35
Br 0.0000 0.5000 0.5000  2 H 2.35
Br 0.5000 0.0000 0.5000  2 H 2.35
Br 0.5000 0.5000 0.0000  2 H 2.35

Output
- E above lowest polymorph (eV per atom) = 1.2570
- density (g/cm³) = 4.324
- space-group type = Pm-3m (221)

---

Entry from the Alexandria database: a relaxed TcPPb crystal (PBE).

abc: 4.4250 4.4250 4.4250
angles: 60.00 60.00 60.00
With the nearest neighbours (Å) after each atom.
Sites, in units of the cell vectors:
Tc 0.0000 0.0000 0.0000  4 Pb 2.71, 4 P 2.71
P 0.2500 0.2500 0.2500  4 Tc 2.71
Pb 0.7500 0.7500 0.7500  4 Tc 2.71

Output
- E above lowest polymorph (eV per atom) = 0.8112
- ΔE_f (eV/atom) = 0.62
- density (g/cm³) = 9.112
- space-group type = F-43m (216)

---

Entry from the Alexandria database: a relaxed Tb4Ru2Rh crystal (PBE).

abc: 7.6963 7.6963 6.7347
angles: 108.06 108.06 110.75
With the nearest neighbours (Å) after each atom.
Sites, in units of the cell vectors:
Tb 0.0144 0.3948 0.7780  3 Ru 2.70-2.98, 1 Rh 2.75
Tb 0.0312 0.9688 0.5000  3 Ru 2.71-3.00, 2 Rh 2.89-2.95
Tb 0.1875 0.5686 0.3903  4 Ru 2.83-3.14, 2 Rh 3.14-3.15
Tb 0.3948 0.0144 0.2780  3 Ru 2.70-2.98, 1 Rh 2.75
Tb 0.5373 0.6920 0.9903  3 Ru 2.83-3.12, 2 Rh 2.84-3.13
Tb 0.5686 0.1875 0.8903  4 Ru 2.83-3.14, 2 Rh 3.14-3.15
Tb 0.6920 0.5373 0.4903  3 Ru 2.83-3.12, 2 Rh 2.84-3.13
Tb 0.9688 0.0312 0.0000  3 Ru 2.71-3.00, 2 Rh 2.89-2.95
Ru 0.1796 0.8179 0.7999  5 Tb 2.70-3.00
Ru 0.3226 0.3324 0.0515  5 Tb 2.71-2.91
Ru 0.3324 0.3226 0.5515  5 Tb 2.71-2.91
Ru 0.8179 0.1796 0.2999  5 Tb 2.70-3.00
Rh 0.6448 0.8929 0.5239  4 Tb 2.75-2.95
Rh 0.8929 0.6448 0.0239  4 Tb 2.75-2.95

Output
- E above lowest polymorph (eV per atom) = 0.0026
- ΔE_f (eV/atom) = -0.43
- density (g/cm³) = 9.993
- space-group type = Cc (9)

---

Entry from the Alexandria database: a relaxed Th2ZrGa2 crystal (PBE).

abc: 7.5921 7.5921 4.3651
angles: 90.00 90.00 90.00
With the nearest neighbours (Å) after each atom.
Sites, in units of the cell vectors:
Th 0.1744 0.3256 0.0000  6 Ga 3.05-3.18
Th 0.3256 0.8256 0.0000  6 Ga 3.05-3.18
Th 0.6744 0.1744 0.0000  6 Ga 3.05-3.18
Th 0.8256 0.6744 0.0000  6 Ga 3.05-3.18
Zr 0.0000 0.0000 0.5000  4 Ga 2.99
Zr 0.5000 0.5000 0.5000  4 Ga 2.99
Ga 0.1272 0.6272 0.5000  1 Ga 2.73, 2 Zr 2.99, 2 Th 3.05
Ga 0.3728 0.1272 0.5000  1 Ga 2.73, 2 Zr 2.99, 2 Th 3.05
Ga 0.6272 0.8728 0.5000  1 Ga 2.73, 2 Zr 2.99, 2 Th 3.05
Ga 0.8728 0.3728 0.5000  1 Ga 2.73, 2 Zr 2.99, 2 Th 3.05

Output
- E above lowest polymorph (eV per atom) = 0.0107
- ΔE_f (eV/atom) = -0.42
- density (g/cm³) = 9.170
- space-group type = P4/mbm (127)

---

> What is the formula in the eleventh record?

Tb4Ru2Rh

---

> Which value of density does entry 6 give?

9.997 g/cm³